{
  "formula": "AgTeAs2",
  "functional": "PBE",
  "state": "relaxed",
  "lattice_angstrom": [[0.0000, 3.4985, 3.4985], [3.4985, 0.0000, 3.4985], [3.4985, 3.4985, 0.0000]],
  "species": ["Ag", "Te", "As", "As"],
  "frac_coords": [[0.0000, 0.0000, 0.0000], [0.7500, 0.7500, 0.7500], [0.2500, 0.2500, 0.2500], [0.5000, 0.5000, 0.5000]],
  "final_energy_ev_per_atom": -3.419
}